Li2FeSi6O15: optimized geometry, PBE+U.

Computed properties:
Polymorph energy (0 for the lowest one) in meV per atom: 0.0
M_tot in μB/cell: 16.598
Space group: Cmce (64)
Crystal system: orthorhombic

Unit cell a=10.0429 b=11.2170 c=11.2170 alpha=99.62 beta=90.00 gamma=90.00
Closest atoms and distances in Å follow each position.
Atoms (fractional coordinates):
O 0.0782 0.7667 0.5031  2 Si 1.63-1.64
O 0.3335 0.4744 0.2472  2 Si 1.65
Si 0.9896 0.9784 0.2382  4 O 1.61-1.65
Si 0.5468 0.2964 0.9195  4 O 1.61-1.64
O 0.9114 0.6756 0.3244  2 Si 1.63
O 0.1665 0.2528 0.0256  2 Si 1.65
O 0.3365 0.1626 0.1789  1 Si 1.61
O 0.9218 0.5031 0.7667  2 Si 1.63-1.64
O 0.1635 0.6626 0.6789  1 Si 1.61
O 0.1635 0.3211 0.3374  1 Si 1.61
Si 0.9532 0.5805 0.2036  4 O 1.61-1.64
Si 0.1950 0.6785 0.5418  4 O 1.61-1.65
O 0.0841 0.0960 0.2541  1 Si 1.61
O 0.9855 0.3454 0.8987  2 Si 1.63-1.64
O 0.8034 0.4505 0.5495  2 Si 1.63
Si 0.6950 0.8215 0.9582  4 O 1.61-1.65
Li 0.0000 0.2545 0.2545  4 O 1.97
O 0.5090 0.6065 0.3935  2 Si 1.63
Si 0.4532 0.7036 0.0805  4 O 1.61-1.64
O 0.8365 0.3374 0.3211  1 Si 1.61
O 0.4159 0.2459 0.4040  1 Si 1.61
Si 0.4896 0.5216 0.2618  4 O 1.61-1.65
Li 0.7500 0.0110 0.4890  2 O 1.94
O 0.9159 0.2541 0.0960  1 Si 1.61
O 0.9218 0.2333 0.4969  2 Si 1.63-1.64
Fe 0.7500 0.8396 0.6604  6 O 2.00-2.02
Si 0.5104 0.2618 0.5216  4 O 1.61-1.65
O 0.0090 0.8935 0.1065  2 Si 1.63
O 0.1665 0.9744 0.7472  2 Si 1.65
Si 0.0104 0.2382 0.9784  4 O 1.61-1.65
O 0.0886 0.3244 0.6756  2 Si 1.63
O 0.5782 0.7333 0.9969  2 Si 1.63-1.64
O 0.3335 0.7528 0.5256  2 Si 1.65
Si 0.9532 0.7964 0.4195  4 O 1.61-1.64
O 0.4218 0.2667 0.0031  2 Si 1.63-1.64
Si 0.6950 0.0418 0.1785  4 O 1.61-1.65
O 0.4218 0.9969 0.7333  2 Si 1.63-1.64
O 0.8335 0.7472 0.9744  2 Si 1.65
O 0.5841 0.4040 0.2459  1 Si 1.61
O 0.8274 0.8543 0.4977  1 Si 1.61
Si 0.8050 0.5418 0.6785  4 O 1.61-1.65
O 0.6966 0.9505 0.0495  2 Si 1.63
O 0.4855 0.1546 0.6013  2 Si 1.63-1.64
O 0.5841 0.7541 0.5960  1 Si 1.61
Si 0.3050 0.9582 0.8215  4 O 1.61-1.65
Li 0.2500 0.9890 0.5110  2 O 1.94
O 0.0145 0.6546 0.1013  2 Si 1.63-1.64
O 0.3365 0.8211 0.8374  1 Si 1.61
Li 0.5000 0.7545 0.7545  4 O 1.97
O 0.6635 0.1789 0.1626  1 Si 1.61
Si 0.4532 0.9195 0.2964  4 O 1.61-1.64
O 0.6665 0.2472 0.4744  2 Si 1.65
O 0.8365 0.6789 0.6626  1 Si 1.61
Si 0.3050 0.1785 0.0418  4 O 1.61-1.65
O 0.4159 0.5960 0.7541  1 Si 1.61
O 0.1726 0.4977 0.8543  1 Si 1.61
O 0.9910 0.1065 0.8935  2 Si 1.63
O 0.0782 0.4969 0.2333  2 Si 1.63-1.64
Si 0.8050 0.3215 0.4582  4 O 1.61-1.65
O 0.5145 0.6013 0.1546  2 Si 1.63-1.64
O 0.5145 0.8454 0.3987  2 Si 1.63-1.64
Li 0.5000 0.2455 0.2455  4 O 1.97
O 0.4114 0.8244 0.1756  2 Si 1.63
O 0.3034 0.0495 0.9505  2 Si 1.63
O 0.8335 0.0256 0.2528  2 Si 1.65
Si 0.4896 0.7382 0.4784  4 O 1.61-1.65
O 0.6726 0.0023 0.6457  1 Si 1.61
O 0.4910 0.3935 0.6065  2 Si 1.63
O 0.5886 0.1756 0.8244  2 Si 1.63
Fe 0.2500 0.6604 0.8396  6 O 2.00-2.02
O 0.1966 0.5495 0.4505  2 Si 1.63
O 0.4855 0.3987 0.8454  2 Si 1.63-1.64
Li 0.7500 0.5110 0.9890  2 O 1.94
Si 0.0468 0.4195 0.7964  4 O 1.61-1.64
Si 0.0468 0.2036 0.5805  4 O 1.61-1.64
O 0.6726 0.3543 0.9977  1 Si 1.61
Li 0.2500 0.4890 0.0110  2 O 1.94
Fe 0.2500 0.1604 0.3396  6 O 2.00-2.02
O 0.3274 0.6457 0.0023  1 Si 1.61
O 0.0145 0.8987 0.3454  2 Si 1.63-1.64
Fe 0.7500 0.3396 0.1604  6 O 2.00-2.02
Si 0.5104 0.4784 0.7382  4 O 1.61-1.65
Si 0.9896 0.7618 0.0216  4 O 1.61-1.65
O 0.6665 0.5256 0.7528  2 Si 1.65
Li 0.0000 0.7455 0.7455  4 O 1.97
O 0.6635 0.8374 0.8211  1 Si 1.61
O 0.3274 0.9977 0.3543  1 Si 1.61
Si 0.0104 0.0216 0.7618  4 O 1.61-1.65
O 0.0841 0.7459 0.9040  1 Si 1.61
O 0.5782 0.0031 0.2667  2 Si 1.63-1.64
O 0.9855 0.1013 0.6546  2 Si 1.63-1.64
O 0.1726 0.1457 0.5023  1 Si 1.61
Si 0.5468 0.0805 0.7036  4 O 1.61-1.64
O 0.8274 0.5023 0.1457  1 Si 1.61
O 0.9159 0.9040 0.7459  1 Si 1.61
Si 0.1950 0.4582 0.3215  4 O 1.61-1.65